Material: HfPb
Method: DFT, PBE-GGA
State: optimized geometry

abc: 8.4835 8.4835 8.4835
angles: 92.22 92.22 157.29
Fractional positions:
Hf (0.0614, 0.3618, 0.4232)
Hf (0.3618, 0.9386, 0.3003)
Hf (0.6382, 0.0614, 0.6997)
Hf (0.9386, 0.6382, 0.5768)
Pb (0.1365, 0.8060, 0.9425)
Pb (0.1940, 0.1365, 0.3304)
Pb (0.8060, 0.8635, 0.6696)
Pb (0.8635, 0.1940, 0.0575)

Properties
Energy of formation from the pure elements ... 0.121 eV/atom

Material: HfPb
Method: DFT, PBE-GGA
State: optimized geometry

abc: 8.1710 8.1710 5.6774
angles: 90.00 90.00 120.00
Fractional positions:
Hf (0.0973, 0.6272, 0.2500)
Hf (0.3728, 0.4702, 0.2500)
Hf (0.4702, 0.0973, 0.7500)
Hf (0.5298, 0.9027, 0.2500)
Hf (0.6272, 0.5298, 0.7500)
Hf (0.9027, 0.3728, 0.7500)
Pb (0.0773, 0.7868, 0.7500)
Pb (0.2132, 0.2905, 0.7500)
Pb (0.2905, 0.0773, 0.2500)
Pb (0.7095, 0.9227, 0.7500)
Pb (0.7868, 0.7095, 0.2500)
Pb (0.9227, 0.2132, 0.2500)

Properties
Energy of formation from the pure elements ... 0.391 eV/atom

Material: HfPb4
Method: DFT, PBE-GGA
State: optimized geometry

abc: 5.6540 5.6540 5.6540
angles: 90.00 90.00 90.00
Fractional positions:
Hf (0.0000, 0.0000, 0.0000)
Pb (0.0000, 0.0000, 0.5000)
Pb (0.0000, 0.5000, 0.0000)
Pb (0.5000, 0.0000, 0.0000)
Pb (0.5000, 0.5000, 0.5000)

Properties
Energy of formation from the pure elements ... 0.404 eV/atom

Material: HfPb2
Method: DFT, PBE-GGA
State: optimized geometry

abc: 3.8036 3.8036 5.9398
angles: 108.74 108.74 89.81
Fractional positions:
Hf (0.0000, 0.0000, 0.0000)
Pb (0.3442, 0.3442, 0.6865)
Pb (0.6558, 0.6558, 0.3135)

Properties
Energy of formation from the pure elements ... 0.189 eV/atom

Material: Hf3Pb
Method: DFT, PBE-GGA
State: optimized geometry

abc: 5.6760 5.6760 5.6760
angles: 134.92 134.92 65.66
Fractional positions:
Hf (0.0000, 0.0000, 0.0000)
Hf (0.2500, 0.7500, 0.5000)
Hf (0.7500, 0.2500, 0.5000)
Pb (0.5000, 0.5000, 0.0000)

Properties
Energy of formation from the pure elements ... -0.024 eV/atom

Material: HfPb
Method: DFT, PBE-GGA
State: optimized geometry

abc: 4.1797 4.1797 4.1797
angles: 60.00 60.00 60.00
Fractional positions:
Hf (0.0000, 0.0000, 0.0000)
Pb (0.5000, 0.5000, 0.5000)

Properties
Energy of formation from the pure elements ... 0.208 eV/atom

Material: Hf5Pb3
Method: DFT, PBE-GGA
State: optimized geometry

abc: 6.4405 6.4405 4.4877
angles: 90.00 90.00 99.30
Fractional positions:
Hf (0.0000, 0.0000, 0.0000)
Hf (0.0000, 0.5000, 0.0000)
Hf (0.2656, 0.2656, 0.5000)
Hf (0.5000, 0.0000, 0.0000)
Hf (0.7344, 0.7344, 0.5000)
Pb (0.2228, 0.7772, 0.5000)
Pb (0.5000, 0.5000, 0.0000)
Pb (0.7772, 0.2228, 0.5000)

Properties
Energy of formation from the pure elements ... 0.037 eV/atom

Material: Hf5Pb
Method: DFT, PBE-GGA
State: optimized geometry

abc: 3.2020 3.2020 13.5421
angles: 90.00 90.00 90.00
Fractional positions:
Hf (0.0000, 0.0000, 0.0000)
Hf (0.0000, 0.0000, 0.3213)
Hf (0.0000, 0.0000, 0.6787)
Hf (0.5000, 0.5000, 0.1636)
Hf (0.5000, 0.5000, 0.8364)
Pb (0.5000, 0.5000, 0.5000)

Properties
Energy above the most stable polymorph in this dataset ... 0.060 eV per atom
Energy of formation from the pure elements ... 0.032 eV/atom

Q: Look up the energy of formation from the pure elements of the fifth one.
A: -0.024 eV/atom

Q: energy of formation from the pure elements of number 6 (HfPb)?
A: 0.208 eV/atom

Please write out number 6 again, unchanged.
Material: HfPb
Method: DFT, PBE-GGA
State: optimized geometry

abc: 4.1797 4.1797 4.1797
angles: 60.00 60.00 60.00
Fractional positions:
Hf (0.0000, 0.0000, 0.0000)
Pb (0.5000, 0.5000, 0.5000)

Properties
Energy of formation from the pure elements ... 0.208 eV/atom